DFT (PBE) results for crystalline SrTiZn2Ga at its relaxed geometry.

The total energy is -2.29 eV/atom. As for the formation energy: 0.740 eV per atom. The mass density is 3.735 g/cm³.

Lattice parameters (Å, degrees): 5.064 5.064 5.827 90.00 90.00 90.00
Space group P4/mmm (No. 123)
Asymmetric unit:
1 Sr 0.000 0.000 0.000 [1 per cell]
2 Ti 0.000 0.000 0.500 [1 per cell]
3 Zn 0.000 0.500 0.500 [2 per cell]
4 Ga 0.500 0.500 0.000 [1 per cell]

=====

DFT (PBE) results for crystalline HfVSbRh2 at its relaxed geometry.

The calculation puts the uncorrected formation energy at 0.454 eV per atom. The total energy is -7.13 eV/atom. The mass density is 9.223 g/cm³.

Lattice parameters (Å, degrees): 4.491 4.491 4.971 90.00 90.00 90.00
Space group P4/mmm (No. 123)
Asymmetric unit:
1 Hf 0.000 0.000 0.000 [1 per cell]
2 V 0.000 0.000 0.500 [1 per cell]
3 Sb 0.500 0.500 0.000 [1 per cell]
4 Rh 0.000 0.500 0.500 [2 per cell]

=====

DFT (PBE) results for crystalline HfTc at its relaxed geometry.

The total energy is -10.58 eV/atom. As for the formation energy: -0.417 eV per atom. The mass density is 13.089 g/cm³.

Lattice parameters (Å, degrees): 3.255 4.490 9.599 90.00 90.00 90.00
Space group Imma (No. 74)
Asymmetric unit:
1 Hf 0.000 0.250 0.116 [4 per cell]
2 Tc 0.000 0.250 0.635 [4 per cell]

=====

DFT (PBE) results for crystalline KCa2Ag at its relaxed geometry.

The total energy is -1.78 eV/atom. The calculation puts the distance to the lowest polymorph of the same formula at 291 meV/atom. As for the formation energy: 0.206 eV per atom. The mass density is 2.565 g/cm³.

Lattice parameters (Å, degrees): 8.379 8.379 8.379 90.00 90.00 90.00
Space group F-43m (No. 216)
Asymmetric unit:
1 K 0.000 0.000 0.000 [4 per cell]
2 Ca 0.000 0.000 0.500 [4 per cell]
3 Ca 0.250 0.250 0.250 [4 per cell]
4 Ag 0.250 0.250 0.750 [4 per cell]

=====

DFT (PBE) results for crystalline InSbPt2 at its relaxed geometry.

The calculation puts the uncorrected formation energy at -0.356 eV per atom. The total energy is -5.09 eV/atom. The mass density is 13.154 g/cm³.

Lattice parameters (Å, degrees): 3.783 3.783 5.529 90.00 90.00 90.00
Space group P4mm (No. 99)
Asymmetric unit:
1 In 0.000 0.000 0.000 [1 per cell]
2 Sb 0.500 0.500 0.634 [1 per cell]
3 Pt 0.000 0.000 0.496 [1 per cell]
4 Pt 0.500 0.500 0.145 [1 per cell]

=====

DFT (PBE) results for crystalline Y3TeH at its relaxed geometry.

The total energy is -5.78 eV/atom. The calculation puts the distance to the lowest polymorph of the same formula at 0 meV/atom. The mass density is 4.755 g/cm³.

Lattice parameters (Å, degrees): 7.010 3.877 10.192 90.00 94.66 90.00
Space group P2_1/m (No. 11)
Asymmetric unit:
1 Y 0.147 0.250 0.110 [2 per cell]
2 Y 0.198 0.750 0.455 [2 per cell]
3 Y 0.231 0.250 0.773 [2 per cell]
4 Te 0.472 0.250 0.323 [2 per cell]
5 H 0.004 0.250 0.908 [2 per cell]

=====

DFT (PBE) results for crystalline CePrGe at its relaxed geometry.

The total energy is -5.52 eV/atom. As for the formation energy: -0.409 eV per atom. The mass density is 6.457 g/cm³.

Lattice parameters (Å, degrees): 7.139 7.139 7.139 90.00 90.00 90.00
Space group F-43m (No. 216)
Asymmetric unit:
1 Ce 0.000 0.000 0.000 [4 per cell]
2 Pr 0.000 0.000 0.500 [4 per cell]
3 Ge 0.250 0.250 0.250 [4 per cell]

=====

DFT (PBE) results for crystalline KAc2SmS4 at its relaxed geometry.

The calculation puts the uncorrected formation energy at -1.881 eV per atom. The total energy is -5.70 eV/atom. The mass density is 5.863 g/cm³.

Lattice parameters (Å, degrees): 7.299 4.245 7.471 90.00 109.23 90.00
Space group P2/m (No. 10)
Asymmetric unit:
1 K 0.000 0.000 0.000 [1 per cell]
2 Ac 0.500 0.000 0.500 [1 per cell]
3 Ac 0.500 0.500 0.000 [1 per cell]
4 Sm 0.000 0.500 0.500 [1 per cell]
5 S 0.238 0.000 0.736 [2 per cell]
6 S 0.251 0.500 0.264 [2 per cell]

=====

DFT (PBE) results for crystalline ErHg2Sb at its relaxed geometry.

The calculation puts the uncorrected formation energy at 0.146 eV per atom. The total energy is -2.18 eV/atom. The mass density is 9.982 g/cm³.

Lattice parameters (Å, degrees): 3.4050 3.4050 34.3065 90.00 90.00 120.00
Space group R-3m (No. 166, hexagonal axes)
Asymmetric unit:
1 Er 0.0000 0.0000 0.0000 [3 per cell]
2 Hg 0.0000 0.0000 0.0874 [6 per cell]
3 Sb 0.0000 0.0000 0.5000 [3 per cell]

=====

DFT (PBE) results for crystalline Sr2NbCr at its relaxed geometry.

The total energy is -4.76 eV/atom. The calculation puts the distance to the lowest polymorph of the same formula at 0 meV/atom. As for the formation energy: 1.000 eV per atom. The mass density is 3.321 g/cm³.

Lattice parameters (Å, degrees): 11.871 11.871 4.543 90.00 90.00 90.00
Space group I-42d (No. 122)
Asymmetric unit:
1 Sr 0.080 0.250 0.125 [8 per cell]
2 Nb 0.000 0.000 0.500 [4 per cell]
3 Cr 0.000 0.000 0.000 [4 per cell]

=====

DFT (PBE) results for crystalline NaPaMn4S8 at its relaxed geometry.

The calculation puts the uncorrected formation energy at -0.821 eV per atom. The total energy is -6.57 eV/atom. The mass density is 4.030 g/cm³.

Lattice parameters (Å, degrees): 7.4524 7.4524 18.7691 90.00 90.00 120.00
Space group R3m (No. 160, hexagonal axes)
Asymmetric unit:
1 Na 0.0000 0.0000 0.0000 [3 per cell]
2 Pa 0.0000 0.0000 0.3626 [3 per cell]
3 Mn 0.0000 0.0000 0.7302 [3 per cell]
4 Mn 0.0080 0.5040 0.8655 [9 per cell]
5 S 0.0000 0.0000 0.1354 [3 per cell]
6 S 0.0000 0.0000 0.5993 [3 per cell]
7 S 0.0071 0.5036 0.1195 [9 per cell]
8 S 0.1787 0.3573 0.9381 [9 per cell]

=====

DFT (PBE) results for crystalline ErPaTcIr at its relaxed geometry.

The total energy is -8.79 eV/atom. As for the formation energy: -0.470 eV per atom. The mass density is 14.180 g/cm³.

Lattice parameters (Å, degrees): 6.858 6.858 6.858 90.00 90.00 90.00
Space group F-43m (No. 216)
Asymmetric unit:
1 Er 0.000 0.000 0.000 [4 per cell]
2 Pa 0.000 0.000 0.500 [4 per cell]
3 Tc 0.250 0.250 0.250 [4 per cell]
4 Ir 0.250 0.250 0.750 [4 per cell]

=====

DFT (PBE) results for crystalline La2PbW at its relaxed geometry.

The total energy is -6.39 eV/atom. As for the formation energy: 0.235 eV per atom. The mass density is 9.918 g/cm³.

Lattice parameters (Å, degrees): 3.243 3.643 9.480 90.00 90.18 90.00
Space group P2/m (No. 10)
Asymmetric unit:
1 La 0.000 0.000 0.212 [2 per cell]
2 Pb 0.500 0.500 0.500 [1 per cell]
3 W 0.500 0.500 0.000 [1 per cell]

=====

DFT (PBE) results for crystalline LaOsI2 at its relaxed geometry.

The calculation puts the uncorrected formation energy at 0.336 eV per atom. The total energy is -4.48 eV/atom. The calculation puts the distance to the lowest polymorph of the same formula at 0 meV/atom. The mass density is 7.961 g/cm³.

Lattice parameters (Å, degrees): 5.158 5.158 18.279 90.00 90.00 90.00
Space group I-42d (No. 122)
Asymmetric unit:
1 La 0.000 0.000 0.000 [4 per cell]
2 Os 0.000 0.000 0.500 [4 per cell]
3 I 0.198 0.250 0.625 [8 per cell]

=====

DFT (PBE) results for crystalline Y2Mn at its relaxed geometry.

The total energy is -7.02 eV/atom. As for the formation energy: 0.350 eV per atom. The mass density is 4.695 g/cm³.

Lattice parameters (Å, degrees): 5.045 5.045 3.235 90.00 90.00 90.00
Space group P4/mmm (No. 123)
Asymmetric unit:
1 Y 0.000 0.500 0.000 [2 per cell]
2 Mn 0.000 0.000 0.500 [1 per cell]

=====

DFT (PBE) results for crystalline TbScGePd at its relaxed geometry.

The total energy is -5.98 eV/atom. As for the formation energy: -0.785 eV per atom. The mass density is 7.724 g/cm³.

Lattice parameters (Å, degrees): 6.906 6.906 6.906 90.00 90.00 90.00
Space group F-43m (No. 216)
Asymmetric unit:
1 Tb 0.000 0.000 0.000 [4 per cell]
2 Sc 0.000 0.000 0.500 [4 per cell]
3 Ge 0.250 0.250 0.750 [4 per cell]
4 Pd 0.250 0.250 0.250 [4 per cell]

=====

DFT (PBE) results for crystalline AlIn2Au4 at its relaxed geometry.

The total energy is -3.35 eV/atom. As for the formation energy: -0.157 eV per atom. The mass density is 11.578 g/cm³.

Lattice parameters (Å, degrees): 4.655 5.437 11.843 90.00 91.77 90.00
Space group P2_1/m (No. 11)
Asymmetric unit:
1 Al 0.210 0.250 0.388 [2 per cell]
2 In 0.014 0.750 0.931 [2 per cell]
3 In 0.311 0.250 0.837 [2 per cell]
4 Au 0.206 0.750 0.303 [2 per cell]
5 Au 0.270 0.000 0.585 [4 per cell]
6 Au 0.484 0.250 0.202 [2 per cell]

=====

DFT (PBE) results for crystalline Sr2Cd3Hg8 at its relaxed geometry.

The total energy is -0.89 eV/atom. As for the formation energy: -0.230 eV per atom. The mass density is 9.911 g/cm³.

Lattice parameters (Å, degrees): 17.574 6.839 5.985 90.00 99.54 90.00
Space group C2/m (No. 12)
Asymmetric unit:
1 Sr 0.185 0.000 0.281 [4 per cell]
2 Cd 0.000 0.000 0.500 [2 per cell]
3 Cd 0.000 0.217 0.000 [4 per cell]
4 Hg 0.065 0.500 0.355 [4 per cell]
5 Hg 0.137 0.252 0.755 [8 per cell]
6 Hg 0.211 0.500 0.169 [4 per cell]

=====

DFT (PBE) results for crystalline Mg2Ni2Ag at its relaxed geometry.

The total energy is -3.49 eV/atom. The calculation puts the distance to the lowest polymorph of the same formula at 119 meV/atom. As for the formation energy: 0.035 eV per atom. The mass density is 5.910 g/cm³.

Lattice parameters (Å, degrees): 7.337 7.337 2.859 90.00 90.00 90.00
Space group P4/mbm (No. 127)
Asymmetric unit:
1 Mg 0.147 0.353 0.000 [4 per cell]
2 Ni 0.148 0.648 0.500 [4 per cell]
3 Ag 0.000 0.000 0.000 [2 per cell]

=====

DFT (PBE) results for crystalline TbUPt at its relaxed geometry.

The total energy is -7.72 eV/atom. As for the formation energy: -0.400 eV per atom. The mass density is 14.017 g/cm³.

Lattice parameters (Å, degrees): 3.795 3.795 19.484 90.00 90.00 90.00
Space group I4/mmm (No. 139)
Asymmetric unit:
1 Tb 0.000 0.000 0.102 [4 per cell]
2 U 0.000 0.000 0.275 [4 per cell]
3 Pt 0.000 0.000 0.432 [4 per cell]